# La2ScSi3Ir4

La2ScSi3Ir4 after structural relaxation (PBE-GGA, Alexandria).

Output
Crystal system: tetragonal
E_form (uncorrected) (kJ/mol of atoms): -98.2

abc: 4.162 4.162 10.734
angles: 90.00 90.00 90.00
Space group P-4m2 (No. 115)
Unique sites:
La 0.000 0.500 0.242
Sc 0.000 0.000 0.500
Si 0.000 0.500 0.880
Si 0.500 0.500 0.500
Ir 0.000 0.000 0.000
Ir 0.000 0.500 0.650
Ir 0.500 0.500 0.000

# SrLaSc2Ir

SrLaSc2Ir after structural relaxation (PBE-GGA, Alexandria).

Output
Crystal system: tetragonal
Energy (eV/cell): -29.591

abc: 5.311 5.311 5.554
angles: 90.00 90.00 90.00
Space group P4/mmm (No. 123)
Unique sites:
Sr 0.000 0.000 0.000
La 0.500 0.500 0.000
Sc 0.000 0.500 0.500
Ir 0.500 0.500 0.500